No. 1
Entry from the Alexandria database: a relaxed LiBe3W crystal (PBE-GGA).

a = 4.4514 Å, b = 4.4514 Å, c = 4.4514 Å
α = 90.00°, β = 90.00°, γ = 90.00°
With the nearest neighbours (Å) after each atom.
Sites, in units of the cell vectors:
W 0.0000 0.0000 0.0000  6 Be 2.23
Be 0.0000 0.0000 0.5000  2 W 2.23
Li 0.5000 0.5000 0.5000  12 Be 3.15
Be 0.5000 0.0000 0.0000  2 W 2.23
Be 0.0000 0.5000 0.0000  2 W 2.23

Values from the calculation:
Mass density = 4.10 g/cm3
Offset from the most stable computed form = 2.90 eV per formula unit
DFT formation energy = 1305.6 meV per atom

No. 2
Entry from the Alexandria database: a relaxed PaSbPtN crystal (PBE-GGA).

a = 3.9774 Å, b = 3.9774 Å, c = 11.9188 Å
α = 80.40°, β = 80.40°, γ = 60.00°
With the nearest neighbours (Å) after each atom.
Sites, in units of the cell vectors:
Pa 0.8745 0.8745 0.3766  4 N 2.24-2.38
Pt 0.4059 0.4059 0.7824  3 Sb 2.73, 3 Pa 2.95
N 0.8105 0.8105 0.5685  4 Pa 2.24-2.38
Sb 0.6970 0.6970 0.9089  3 Pt 2.73
Sb 0.3030 0.3030 0.0911  3 Pt 2.73
Pa 0.1255 0.1255 0.6234  4 N 2.24-2.38
N 0.1895 0.1895 0.4315  4 Pa 2.24-2.38
Pt 0.5941 0.5941 0.2176  3 Sb 2.73, 3 Pa 2.95

Values from the calculation:
Mass density = 11.65 g/cm3
E_form (uncorrected) = -3.92 eV/f.u.

No. 3
Entry from the Alexandria database: a relaxed Tb6ZnSe5 crystal (PBE-GGA).

a = 7.1327 Å, b = 7.1327 Å, c = 7.1117 Å
α = 99.62°, β = 99.62°, γ = 119.92°
With the nearest neighbours (Å) after each atom.
Sites, in units of the cell vectors:
Se 0.3343 0.6657 0.0000  6 Tb 2.91-2.92
Se 0.1708 0.8292 0.5000  6 Tb 2.91-2.94
Tb 0.2432 0.2432 0.7545  1 Zn 2.84, 5 Se 2.91-2.98
Se 0.8292 0.1708 0.5000  6 Tb 2.91-2.94
Tb 0.9191 0.5932 0.7559  1 Zn 2.84, 5 Se 2.91-2.94
Tb 0.4068 0.0809 0.2441  1 Zn 2.84, 5 Se 2.91-2.94
Tb 0.5932 0.9191 0.7559  1 Zn 2.84, 5 Se 2.91-2.94
Zn 0.0000 0.0000 0.0000  6 Tb 2.84
Se 0.6657 0.3343 0.0000  6 Tb 2.91-2.92
Tb 0.0809 0.4068 0.2441  1 Zn 2.84, 5 Se 2.91-2.94
Se 0.5000 0.5000 0.5000  6 Tb 2.91-2.98
Tb 0.7568 0.7568 0.2455  1 Zn 2.84, 5 Se 2.91-2.98

Values from the calculation:
Mass density = 7.94 g/cm3
E_form (uncorrected) = -18.68 eV/f.u.

No. 4
Entry from the Alexandria database: a relaxed LiMg2TlO4 crystal (PBE-GGA).

a = 3.1795 Å, b = 5.4092 Å, c = 5.3230 Å
α = 73.40°, β = 90.00°, γ = 90.00°
With the nearest neighbours (Å) after each atom.
Sites, in units of the cell vectors:
O 0.5000 0.2272 0.7665  3 Mg 2.13-2.17, 1 Tl 2.18, 2 Li 2.35
Tl 0.5000 0.5000 0.0000  6 O 2.18-2.37
Li 0.0000 0.5000 0.5000  6 O 2.19-2.35
O 0.5000 0.7728 0.2335  3 Mg 2.13-2.17, 1 Tl 2.18, 2 Li 2.35
Mg 0.0000 0.0000 0.0000  6 O 2.12-2.17
O 0.0000 0.2224 0.2707  3 Mg 2.12-2.15, 1 Li 2.19, 2 Tl 2.37
O 0.0000 0.7776 0.7293  3 Mg 2.12-2.15, 1 Li 2.19, 2 Tl 2.37
Mg 0.5000 0.0000 0.5000  6 O 2.13-2.15

Values from the calculation:
Mass density = 6.13 g/cm3
E_form (uncorrected) = -14.94 eV/f.u.

No. 5
Entry from the Alexandria database: a relaxed TlCuAsSe3 crystal (PBE-GGA).

a = 3.8964 Å, b = 9.0372 Å, c = 9.2430 Å
α = 108.98°, β = 90.00°, γ = 90.00°
With the nearest neighbours (Å) after each atom.
Sites, in units of the cell vectors:
Tl 0.2500 0.1899 0.2328  7 Se 3.29-3.37
Cu 0.2500 0.0741 0.5825  4 Se 2.44-2.47, 2 Cu 2.57
Se 0.7500 0.4594 0.1560  3 As 2.53-2.74
As 0.2500 0.6635 0.1320  5 Se 2.53-2.74
Se 0.7500 0.2125 0.5315  3 Cu 2.44-2.46
Se 0.2500 0.7875 0.4685  3 Cu 2.44-2.46
Se 0.2500 0.5406 0.8440  3 As 2.53-2.74
Cu 0.7500 0.9259 0.4175  4 Se 2.44-2.47, 2 Cu 2.57
Se 0.2500 0.1290 0.8622  1 Cu 2.47, 2 As 2.69
Tl 0.7500 0.8101 0.7672  7 Se 3.29-3.37
As 0.7500 0.3365 0.8680  5 Se 2.53-2.74
Se 0.7500 0.8710 0.1378  1 Cu 2.47, 2 As 2.69

Values from the calculation:
Mass density = 6.26 g/cm3
E_form (uncorrected) = -1.13 eV/f.u.

No. 6
Entry from the Alexandria database: a relaxed TbErPb crystal (PBE-GGA).

a = 3.6967 Å, b = 5.3024 Å, c = 5.3024 Å
α = 120.00°, β = 90.00°, γ = 90.00°
With the nearest neighbours (Å) after each atom.
Sites, in units of the cell vectors:
Tb 0.7214 0.3333 0.6667  3 Pb 3.26, 6 Er 3.51-3.65
Pb 0.0218 0.0000 0.0000  3 Er 3.18, 3 Tb 3.26
Er 0.2567 0.6667 0.3333  3 Pb 3.18, 3 Tb 3.51

Values from the calculation:
Mass density = 9.84 g/cm3
Offset from the most stable computed form = 0.68 eV per formula unit
DFT formation energy = -194.5 meV per atom

No. 7
Entry from the Alexandria database: a relaxed Pm5DySn2 crystal (PBE-GGA).

a = 4.6008 Å, b = 7.8467 Å, c = 7.8467 Å
α = 79.64°, β = 72.95°, γ = 72.95°
With the nearest neighbours (Å) after each atom.
Sites, in units of the cell vectors:
Pm 0.3427 0.4706 0.8441  3 Sn 3.19-3.35, 5 Pm 3.34-3.51
Dy 0.0000 0.0000 0.0000  4 Sn 3.22
Pm 0.6573 0.1559 0.5294  3 Sn 3.19-3.35, 5 Pm 3.34-3.51
Pm 0.6573 0.5294 0.1559  3 Sn 3.19-3.35, 5 Pm 3.34-3.51
Pm 0.3427 0.8441 0.4706  3 Sn 3.19-3.35, 5 Pm 3.34-3.51
Sn 0.2972 0.2028 0.2028  7 Pm 3.19-3.35, 2 Dy 3.22
Pm 0.0000 0.5000 0.5000  2 Sn 3.31, 8 Pm 3.45
Sn 0.7028 0.7972 0.7972  7 Pm 3.19-3.35, 2 Dy 3.22

Values from the calculation:
Mass density = 7.25 g/cm3
DFT formation energy = -280.6 meV per atom

No. 8
Entry from the Alexandria database: a relaxed Dy2Th3C4 crystal (PBE-GGA).

a = 3.7388 Å, b = 6.5098 Å, c = 8.2151 Å
α = 76.40°, β = 76.85°, γ = 73.31°
With the nearest neighbours (Å) after each atom.
Sites, in units of the cell vectors:
Dy 0.3869 0.8384 0.3879  4 C 2.47-2.71
Th 0.8021 0.5958 0.7999  5 C 2.50-2.70
C 0.6096 0.6909 0.0900  5 Th 2.50-2.69, 1 Dy 2.71
C 0.2008 0.9040 0.6944  3 Dy 2.47-2.56, 3 Th 2.62-2.70
Th 0.0000 0.0000 0.0000  6 C 2.62-2.69
Th 0.1979 0.4042 0.2001  5 C 2.50-2.70
C 0.3904 0.3091 0.9100  5 Th 2.50-2.69, 1 Dy 2.71
Dy 0.6131 0.1616 0.6121  4 C 2.47-2.71
C 0.7992 0.0960 0.3056  3 Dy 2.47-2.56, 3 Th 2.62-2.70

Values from the calculation:
Mass density = 9.68 g/cm3
DFT formation energy = -280.4 meV per atom

No. 9
Entry from the Alexandria database: a relaxed HfPdS3 crystal (PBE-GGA).

a = 4.6005 Å, b = 4.6005 Å, c = 4.6005 Å
α = 90.00°, β = 90.00°, γ = 90.00°
With the nearest neighbours (Å) after each atom.
Sites, in units of the cell vectors:
S 0.0000 0.5000 0.0000  2 Pd 2.30
S 0.0000 0.0000 0.5000  2 Pd 2.30
Pd 0.0000 0.0000 0.0000  6 S 2.30
S 0.5000 0.0000 0.0000  2 Pd 2.30
Hf 0.5000 0.5000 0.5000  12 S 3.25

Values from the calculation:
Mass density = 6.50 g/cm3
Offset from the most stable computed form = 1.59 eV per formula unit
E_form (uncorrected) = 0.64 eV/f.u.

No. 10
Entry from the Alexandria database: a relaxed Li5TePd6 crystal (PBE-GGA).

a = 4.3493 Å, b = 6.1481 Å, c = 6.8031 Å
α = 90.00°, β = 108.58°, γ = 90.00°
With the nearest neighbours (Å) after each atom.
Sites, in units of the cell vectors:
Te 0.0000 0.0000 0.0000  8 Pd 2.70-2.71
Pd 0.8302 0.2593 0.6608  7 Li 2.60-2.70, 1 Te 2.71
Li 0.6656 0.5000 0.3300  8 Pd 2.58-2.63
Pd 0.5000 0.2616 0.0000  6 Li 2.58-2.72, 2 Te 2.70
Li 0.6700 0.0000 0.3395  8 Pd 2.61-2.72
Li 0.3300 0.0000 0.6605  8 Pd 2.61-2.72
Li 0.3344 0.5000 0.6700  8 Pd 2.58-2.63
Pd 0.1698 0.2593 0.3392  7 Li 2.60-2.70, 1 Te 2.71
Pd 0.1698 0.7407 0.3392  7 Li 2.60-2.70, 1 Te 2.71
Pd 0.5000 0.7384 0.0000  6 Li 2.58-2.72, 2 Te 2.70
Li 0.0000 0.5000 0.0000  8 Pd 2.62-2.64
Pd 0.8302 0.7407 0.6608  7 Li 2.60-2.70, 1 Te 2.71

Values from the calculation:
Mass density = 7.71 g/cm3
E_form (uncorrected) = -5.81 eV/f.u.